[1]
Computed, not measured: crystalline AcEr3 at its relaxed geometry at the PBE-GGA level of DFT.

a = 3.7200 Å, b = 5.8070 Å, c = 6.2929 Å
α = 90.00°, β = 90.00°, γ = 90.00°
Closest atoms and distances in Å follow each position.
Element x y z (fractional)
Er1 0.5000 0.0000 0.5044  8 Er 3.57-3.72, 4 Ac 3.61
Er2 0.5000 0.5000 0.8335  8 Er 3.57-3.72, 4 Ac 3.64-3.67
Er3 0.0000 0.0000 0.9918  10 Er 3.59-3.72, 2 Ac 3.63
Ac1 0.0000 0.5000 0.3371  10 Er 3.61-3.67, 2 Ac 3.72

magnetic moment	0.007	μB/cell
energy of formation	0.27	eV/f.u.
symmetry	Pmm2, No. 25

***

[2]
Computed, not measured: crystalline CdHgOsO6 at its relaxed geometry at the PBE-GGA level of DFT.

a = 5.7988 Å, b = 5.7981 Å, c = 5.1359 Å
α = 81.86°, β = 98.15°, γ = 59.04°
Closest atoms and distances in Å follow each position.
Element x y z (fractional)
Hg1 0.9763 0.9764 0.0000  2 O 2.05
O1 0.3239 0.6378 0.2688  1 Hg 2.05, 1 Os 2.06, 1 Cd 2.21
O2 0.0931 0.5681 0.6757  1 Os 1.84
O3 0.6377 0.3240 0.7312  1 Hg 2.05, 1 Os 2.06, 1 Cd 2.21
O4 0.0207 0.3997 0.2538  1 Os 1.79
O5 0.5680 0.0931 0.3242  1 Os 1.84
O6 0.3998 0.0207 0.7463  1 Os 1.79
Cd1 0.6607 0.6608 0.4999  4 O 2.21-2.29
Os1 0.3194 0.3195 0.5000  4 O 1.79-1.84

magnetic moment	0.000	μB/cell
raw formation energy	-697.8	meV per atom
symmetry	C2, No. 5